20
Lattice="6.507 0.000 0.000 0.000 6.438 0.001 0.000 6.416 9.134" Properties=species:S:1:pos:R:3 comment="KRb2ScF6 (GGA-PBE, relaxed)" e_form_raw_ev_per_atom=-3.32 spacegroup="P2_1/c (14)" final_energy_ev_per_atom=-5.380 dos_ef_per_ev_cell=0.00 pbc="T T T"
K 3.254 3.219 0.000
K 0.000 6.427 4.567
F 5.320 1.637 0.296
F 1.657 1.148 0.362
F 4.850 11.706 8.772
F 0.147 6.860 7.144
F 2.066 8.009 4.271
F 1.187 11.218 8.838
F 3.106 3.652 2.577
F 3.401 9.203 6.557
F 1.597 4.356 4.929
F 4.911 8.498 4.205
F 6.360 5.994 1.990
F 4.441 4.845 4.863
Rb 0.215 3.173 2.283
Rb 3.469 6.473 2.285
Rb 3.039 6.381 6.850
Rb 6.292 9.681 6.851
Sc 0.000 0.000 0.000
Sc 3.254 3.208 4.567

9
Lattice="6.325 0.060 0.182 3.215 5.530 0.019 0.133 -0.063 4.435" Properties=species:S:1:pos:R:3 comment="KRbScF6 (GGA-PBE, relaxed)" e_form_raw_ev_per_atom=-3.00 spacegroup="P1 (1)" final_energy_ev_per_atom=-5.179 dos_ef_per_ev_cell=0.51 pbc="T T T"
Rb 9.552 5.507 3.958
F 3.635 3.583 1.429
F 4.967 2.515 3.565
F 8.047 2.894 3.473
F 2.893 0.356 3.929
F 4.455 0.446 1.810
F 1.824 1.160 1.231
Sc 3.375 1.983 2.535
K 6.402 3.662 1.231

20
Lattice="-3.860 -3.018 4.946 3.028 -4.025 4.807 1.083 6.109 9.474" Properties=species:S:1:pos:R:3 comment="K2RbSeF6 (GGA-PBE, relaxed)" e_form_raw_ev_per_atom=-2.14 spacegroup="R-3m (166)" final_energy_ev_per_atom=-3.932 pbc="T T T"
Se 0.125 -0.467 9.613
Se 0.000 0.000 0.000
K 0.516 2.586 6.882
K -0.266 -3.520 12.345
K 0.071 -0.184 4.843
K 0.180 -0.750 14.384
F -1.522 2.422 13.070
F 2.665 1.811 12.986
F 0.100 -0.946 11.854
F 0.824 4.257 10.063
F 0.150 0.012 7.373
F 1.773 -3.356 6.157
F -1.860 -1.560 9.949
F -2.414 -2.745 6.241
F -1.476 1.150 9.350
F -0.574 -5.191 9.164
F 1.727 -2.084 9.877
F 2.111 0.626 9.278
Rb 0.522 1.997 11.427
Rb -0.271 -2.932 7.800

10
Lattice="4.693 0.000 0.000 -2.347 7.464 0.000 0.000 0.000 9.663" Properties=species:S:1:pos:R:3 comment="K2RbSeF (GGA-PBE, relaxed)" e_form_raw_ev_per_atom=-1.64 spacegroup="Cmcm (63)" final_energy_ev_per_atom=-3.345 dos_ef_per_ev_cell=0.00 pbc="T T T"
Rb 0.000 6.549 7.247
Rb 2.347 0.916 2.416
F 0.000 0.000 0.000
F 0.000 0.000 4.831
Se 0.000 3.683 2.416
Se 2.347 3.782 7.247
K 0.000 2.418 5.431
K 0.000 2.418 9.063
K 2.347 5.046 0.599
K 2.347 5.046 4.232